No. 1
The following is a GGA-PBE calculation of a relaxed structure of PuCuAu, from Alexandria.

Cell and atoms, written as POSCAR:
```
PuCuAu
1.0
-2.8289 1.4549 -1.1647
0.1190 -1.9718 -2.7521
-1.4897 -3.3191 4.3987
Au Pu Cu
1 1 1
direct
0.6413 0.6413 0.2826
0.9463 0.9463 0.8926
0.2624 0.2624 0.5247
```

Calculated values
calculated volume = 19.821 A^3/atom
energy above the most stable polymorph in this dataset = 118 meV/atom
total moment = 5.65 μB/f.u.
raw total energy = -7.391 eV/atom
formation enthalpy at 0 K = -0.156 eV/atom


No. 2
The following is a GGA-PBE calculation of a relaxed structure of AlHSeBr2, from Alexandria.

Cell and atoms, written as POSCAR:
```
AlHSeBr2
1.0
-3.7565 0.6935 3.4415
3.3997 -0.5385 3.8194
0.8259 4.7788 -0.0615
Br Al H Se
2 1 1 1
direct
0.0000 0.5000 0.0000
0.5000 0.0000 0.0000
0.0000 0.0000 0.0000
0.5000 0.5000 0.5000
0.0000 0.0000 0.5000
```

Calculated values
calculated volume = 25.643 A^3/atom
energy above the most stable polymorph in this dataset = 0 meV/atom
total moment = 0.99 μB/f.u.
raw total energy = -2.632 eV/atom


No. 3
The following is a GGA-PBE calculation of a relaxed structure of Tl2SiI4, from Alexandria.

Cell and atoms, written as POSCAR:
```
Tl2SiI4
1.0
-1.7150 -4.0610 3.6681
-2.0079 -3.1089 -4.3807
5.8981 -7.5395 -1.1064
Si I Tl
1 4 2
direct
0.0000 0.0000 0.0000
0.1680 0.1680 0.6641
0.5000 0.0000 0.0000
0.8320 0.8320 0.3359
0.0000 0.5000 0.0000
0.6380 0.6380 0.7240
0.3620 0.3620 0.2760
```

Calculated values
calculated volume = 41.069 A^3/atom
raw formation energy = -2.50 eV/f.u.
total moment = 0.00 μB/f.u.
raw total energy = -2.693 eV/atom


No. 4
The following is a GGA-PBE calculation of a relaxed structure of Li4HgTe3, from Alexandria.

Cell and atoms, written as POSCAR:
```
Li4HgTe3
1.0
-2.1201 5.9386 3.6789
-2.3095 -7.2634 3.1504
9.0495 1.9610 2.0495
Te Li Hg
6 8 2
direct
0.6670 0.3225 0.8236
0.3026 0.5906 0.0790
0.9283 0.8755 0.3499
0.9472 0.8755 0.8499
0.2880 0.5906 0.5790
0.6555 0.3225 0.3236
0.9323 0.2309 0.4261
0.0254 0.7403 0.5525
0.0853 0.5756 0.8279
0.8936 0.4836 0.1282
0.4904 0.5756 0.3279
0.2987 0.2309 0.9261
0.7150 0.7403 0.0525
0.5900 0.4836 0.6282
0.6443 0.9606 0.7626
0.3164 0.9606 0.2626
```

Calculated values
calculated volume = 29.202 A^3/atom
raw formation energy = -5.81 eV/f.u.
total moment = 0.00 μB/f.u.
raw total energy = -2.899 eV/atom


No. 5
The following is a GGA-PBE calculation of a relaxed structure of KMgIn, from Alexandria.

Cell and atoms, written as POSCAR:
```
KMgIn
1.0
3.6616 0.0000 0.0000
-1.8308 3.1710 0.0000
0.0000 0.0000 8.4995
K In Mg
1 1 1
direct
0.6667 0.3333 0.3229
0.0000 0.0000 0.9720
0.3333 0.6667 0.7050
```

Calculated values
calculated volume = 32.896 A^3/atom
energy above the most stable polymorph in this dataset = 180 meV/atom
total moment = 0.00 μB/f.u.
raw total energy = -1.693 eV/atom
formation enthalpy at 0 K = 0.118 eV/atom


No. 6
The following is a GGA-PBE calculation of a relaxed structure of Ag4Br3Cl2, from Alexandria.

Cell and atoms, written as POSCAR:
```
Ag4Br3Cl2
1.0
-0.6002 -7.2092 1.0196
2.5252 0.2201 7.8646
-7.1966 0.4874 4.0309
Ag Cl Br
8 4 6
direct
0.5874 0.0684 0.7500
0.4194 0.6398 0.6671
0.0874 0.7500 0.0684
0.5806 0.3602 0.3329
0.0806 0.3329 0.3602
0.9126 0.2500 0.9316
0.9194 0.6671 0.6398
0.4126 0.9316 0.2500
0.8463 0.5232 0.1830
0.6537 0.8170 0.4768
0.1537 0.4768 0.8170
0.3463 0.1830 0.5232
0.2500 0.6339 0.3661
0.0554 0.0713 0.2058
0.4446 0.7942 0.9287
0.5554 0.2058 0.0713
0.9446 0.9287 0.7942
0.7500 0.3661 0.6339
```

Calculated values
calculated volume = 27.002 A^3/atom
raw formation energy = -2.76 eV/f.u.
energy above the most stable polymorph in this dataset = 31 meV/atom
total moment = 0.00 μB/f.u.
raw total energy = -2.541 eV/atom


No. 7
The following is a GGA-PBE calculation of a relaxed structure of KSbIr3, from Alexandria.

Cell and atoms, written as POSCAR:
```
KSbIr3
1.0
4.9727 0.0000 0.0000
0.0000 4.9727 0.0000
0.0000 0.0000 4.9727
Ir Sb K
3 1 1
direct
0.5000 0.0000 0.0000
0.0000 0.0000 0.5000
0.0000 0.5000 0.0000
0.0000 0.0000 0.0000
0.5000 0.5000 0.5000
```

Calculated values
calculated volume = 24.593 A^3/atom
raw formation energy = 6.44 eV/f.u.
energy above the most stable polymorph in this dataset = 0 meV/atom
total moment = 0.62 μB/f.u.
raw total energy = -5.073 eV/atom


No. 8
The following is a GGA-PBE calculation of a relaxed structure of NdPu2PaP4, from Alexandria.

Cell and atoms, written as POSCAR:
```
NdPu2PaP4
1.0
4.0398 0.0000 0.0000
0.0000 6.9527 -0.1127
0.0000 2.4707 6.5519
Pa Pu P Nd
1 2 4 1
direct
0.0000 0.5000 0.5000
0.0000 0.0000 0.0000
0.5000 0.0000 0.5000
0.0000 0.7568 0.7367
0.5000 0.7495 0.2572
0.0000 0.2433 0.2633
0.5000 0.2505 0.7428
0.5000 0.5000 0.0000
```

Calculated values
calculated volume = 23.144 A^3/atom
total moment = 0.38 μB/f.u.
raw total energy = -9.356 eV/atom
formation enthalpy at 0 K = -1.285 eV/atom


No. 9
The following is a GGA-PBE calculation of a relaxed structure of MgMn2Cu2, from Alexandria.

Cell and atoms, written as POSCAR:
```
MgMn2Cu2
1.0
3.8700 0.0000 0.0000
0.0000 3.8700 0.0000
1.9350 1.9350 4.8440
Mg Mn Cu
1 2 2
direct
0.0000 0.0000 0.0000
0.5986 0.5986 0.8029
0.4014 0.4014 0.1971
0.7500 0.2500 0.5000
0.2500 0.7500 0.5000
```

Calculated values
calculated volume = 14.509 A^3/atom
total moment = 2.40 μB/f.u.
raw total energy = -5.135 eV/atom
formation enthalpy at 0 K = 0.491 eV/atom


No. 10
The following is a GGA-PBE calculation of a relaxed structure of Na2In8Au, from Alexandria.

Cell and atoms, written as POSCAR:
```
Na2In8Au
1.0
-1.5797 4.0155 2.1197
-4.4678 -1.7749 0.0328
2.0754 -5.0202 11.0570
In Na Au
8 2 1
direct
0.5000 0.0000 0.1322
0.5000 0.0000 0.8678
0.0000 0.5000 0.1322
0.5000 0.0000 0.5000
0.0000 0.5000 0.5000
0.0000 0.5000 0.8678
0.5000 0.5000 0.3122
0.5000 0.5000 0.6878
0.0000 0.0000 0.6838
0.0000 0.0000 0.3162
0.0000 0.0000 0.0000
```

Calculated values
calculated volume = 25.885 A^3/atom
total moment = 0.00 μB/f.u.
raw total energy = -2.647 eV/atom
formation enthalpy at 0 K = -0.118 eV/atom


No. 11
The following is a GGA-PBE calculation of a relaxed structure of Rb2CaSeF6, from Alexandria.

Cell and atoms, written as POSCAR:
```
Rb2CaSeF6
1.0
-1.9659 -1.7488 -6.2769
-4.6447 -4.2223 2.6310
-6.1659 0.1714 -1.8066
F Ca Rb Se
6 1 2 1
direct
0.2697 0.7303 0.0000
0.2300 0.2300 0.5401
0.7303 0.7303 0.0000
0.2697 0.2697 0.0000
0.7700 0.7700 0.4599
0.7303 0.2697 0.0000
0.5000 0.5000 0.0000
0.2500 0.7500 0.5000
0.7500 0.2500 0.5000
0.0000 0.0000 0.0000
```

Calculated values
calculated volume = 19.735 A^3/atom
raw formation energy = -25.05 eV/f.u.
total moment = 2.00 μB/f.u.
raw total energy = -4.370 eV/atom


No. 12
The following is a GGA-PBE calculation of a relaxed structure of TaTlSi2Te, from Alexandria.

Cell and atoms, written as POSCAR:
```
TaTlSi2Te
1.0
-1.5785 4.1054 -2.5029
1.1497 -2.5722 -4.9441
-4.6982 -1.8771 -0.1160
Te Si Ta Tl
1 2 1 1
direct
0.0000 0.0000 0.0000
0.5000 0.0000 0.0000
0.0000 0.0000 0.5000
0.5000 0.5000 0.5000
0.0000 0.5000 0.0000
```

Calculated values
calculated volume = 29.148 A^3/atom
raw formation energy = 9.39 eV/f.u.
total moment = 2.48 μB/f.u.
raw total energy = -3.763 eV/atom